Density functional theory data (GGA-PBE) for a relaxed MgInSe2N crystal.

Crystal system: tetragonal
ΔE_f (raw): 243 kJ/mol of formula units
Density of states at the Fermi level: 2.5 states/eV/f.u.
Electronic total energy: -3.422 eV/atom

a = 5.397 Å, b = 5.397 Å, c = 4.145 Å
α = 90.00°, β = 90.00°, γ = 90.00°
Last column: magnetic moment on the atom in μB.
Fractional coordinates of all 5 atoms:
1 Se 0.500 0.000 0.000  0.16
2 Se 0.000 0.500 0.000  0.16
3 In 0.000 0.000 0.000  -0.01
4 N 0.000 0.000 0.500  1.04
5 Mg 0.500 0.500 0.500  0.00


Density functional theory data (GGA-PBE) for a relaxed HfHgSb2Ir crystal.

Crystal system: tetragonal
ΔE_f (raw): 352 kJ/mol of formula units
Density of states at the Fermi level: 4.6 states/eV/f.u.
Electronic total energy: -4.742 eV/atom

a = 5.516 Å, b = 5.516 Å, c = 4.922 Å
α = 90.00°, β = 90.00°, γ = 90.00°
Fractional coordinates of all 5 atoms:
1 Hg 0.500 0.500 0.500
2 Ir 0.000 0.000 0.500
3 Hf 0.000 0.000 0.000
4 Sb 0.000 0.500 0.000
5 Sb 0.500 0.000 0.000


Density functional theory data (GGA-PBE) for a relaxed ScAgP2S crystal.

Crystal system: tetragonal
ΔE_f (raw): 152 kJ/mol of formula units
Density of states at the Fermi level: 4.5 states/eV/f.u.
Electronic total energy: -4.510 eV/atom

a = 4.958 Å, b = 4.958 Å, c = 4.873 Å
α = 90.00°, β = 90.00°, γ = 90.00°
Fractional coordinates of all 5 atoms:
1 P 0.500 0.000 0.000
2 P 0.000 0.500 0.000
3 S 0.000 0.000 0.500
4 Sc 0.000 0.000 0.000
5 Ag 0.500 0.500 0.500


Density functional theory data (GGA-PBE) for a relaxed Co2Si2W crystal.

Crystal system: tetragonal
ΔE_f (raw): -169 kJ/mol of formula units
Density of states at the Fermi level: 4.4 states/eV/f.u.
Electronic total energy: -7.953 eV/atom

a = 6.769 Å, b = 6.769 Å, c = 2.608 Å
α = 90.00°, β = 90.00°, γ = 90.00°
Fractional coordinates of all 10 atoms:
1 Si 0.145 0.355 0.000
2 Si 0.355 0.855 0.000
3 Si 0.645 0.145 0.000
4 Si 0.855 0.645 0.000
5 Co 0.150 0.650 0.500
6 Co 0.850 0.350 0.500
7 Co 0.650 0.850 0.500
8 Co 0.350 0.150 0.500
9 W 0.500 0.500 0.000
10 W 0.000 0.000 0.000


Density functional theory data (GGA-PBE) for a relaxed NdDyN crystal.

Crystal system: tetragonal
ΔE_f (raw): 54 kJ/mol of formula units
Density of states at the Fermi level: 1.7 states/eV/f.u.
Electronic total energy: -5.711 eV/atom

a = 4.735 Å, b = 4.735 Å, c = 5.145 Å
α = 117.40°, β = 117.40°, γ = 90.00°
Fractional coordinates of all 3 atoms:
1 Dy 0.882 0.882 0.764
2 N 0.621 0.621 0.242
3 Nd 0.347 0.347 0.694


Density functional theory data (GGA-PBE) for a relaxed Tb2ErCuTe5 crystal.

Crystal system: orthorhombic
ΔE_f (raw): -983 kJ/mol of formula units
Density of states at the Fermi level: 0.2 states/eV/f.u.
Electronic total energy: -4.869 eV/atom

a = 4.233 Å, b = 9.616 Å, c = 12.901 Å
α = 90.00°, β = 90.00°, γ = 102.72°
Fractional coordinates of all 18 atoms:
1 Cu 0.571 0.142 0.960
2 Cu 0.429 0.858 0.460
3 Te 0.354 0.709 0.999
4 Te 0.687 0.374 0.840
5 Te 0.714 0.428 0.173
6 Te 0.286 0.572 0.673
7 Te 0.646 0.291 0.499
8 Te 0.313 0.626 0.340
9 Te 0.501 0.001 0.287
10 Te 0.960 0.920 0.567
11 Te 0.040 0.080 0.067
12 Te 0.499 0.999 0.787
13 Tb 0.876 0.751 0.804
14 Tb 0.891 0.782 0.184
15 Tb 0.109 0.218 0.684
16 Tb 0.124 0.249 0.304
17 Er 0.189 0.379 0.009
18 Er 0.811 0.621 0.509


Density functional theory data (GGA-PBE) for a relaxed ZnCdH2Au crystal.

Crystal system: tetragonal
Density of states at the Fermi level: 1.2 states/eV/f.u.
Electronic total energy: -2.182 eV/atom

a = 3.721 Å, b = 5.471 Å, c = 3.721 Å
α = 90.00°, β = 90.00°, γ = 90.00°
Fractional coordinates of all 5 atoms:
1 Au 0.000 0.000 0.000
2 Cd 0.500 0.500 0.500
3 H 0.000 0.000 0.500
4 H 0.500 0.000 0.000
5 Zn 0.000 0.500 0.000


Density functional theory data (GGA-PBE) for a relaxed Pr13Th3 crystal.

DFT formation energy: 0.06 eV/atom
Crystal system: orthorhombic
Density of states at the Fermi level: 26.0 states/eV/f.u.
Electronic total energy: -5.216 eV/atom

a = 7.352 Å, b = 8.805 Å, c = 8.805 Å
α = 92.76°, β = 90.00°, γ = 90.00°
Fractional coordinates of all 16 atoms:
1 Pr 0.247 0.455 0.040
2 Pr 0.753 0.960 0.545
3 Pr 0.000 0.207 0.296
4 Pr 0.753 0.539 0.461
5 Pr 0.000 0.802 0.198
6 Pr 0.500 0.799 0.201
7 Pr 0.247 0.960 0.545
8 Pr 0.500 0.716 0.794
9 Pr 0.753 0.455 0.040
10 Pr 0.247 0.539 0.461
11 Pr 0.500 0.283 0.717
12 Pr 0.500 0.206 0.284
13 Pr 0.000 0.704 0.793
14 Th 0.000 0.282 0.718
15 Th 0.757 0.046 0.954
16 Th 0.243 0.046 0.954


Density functional theory data (GGA-PBE) for a relaxed CdSb2WI crystal.

Crystal system: tetragonal
ΔE_f (raw): 818 kJ/mol of formula units
Density of states at the Fermi level: 5.3 states/eV/f.u.
Electronic total energy: -3.037 eV/atom

a = 5.451 Å, b = 5.451 Å, c = 5.725 Å
α = 90.00°, β = 90.00°, γ = 90.00°
Last column: magnetic moment on the atom in μB.
Fractional coordinates of all 5 atoms:
1 W 0.500 0.500 0.500  3.22
2 Sb 0.000 0.500 0.000  -0.18
3 Sb 0.500 0.000 0.000  -0.18
4 I 0.000 0.000 0.500  -0.08
5 Cd 0.000 0.000 0.000  0.01


Density functional theory data (GGA-PBE) for a relaxed Tb4Sm4Tm crystal.

DFT formation energy: 0.11 eV/atom
Crystal system: monoclinic
Density of states at the Fermi level: 15.0 states/eV/f.u.
Electronic total energy: -4.546 eV/atom

a = 5.576 Å, b = 8.823 Å, c = 8.998 Å
α = 45.22°, β = 71.96°, γ = 71.58°
Fractional coordinates of all 9 atoms:
1 Tm 0.500 0.000 0.000
2 Tb 0.074 0.233 0.619
3 Tb 0.926 0.767 0.381
4 Tb 0.631 0.430 0.309
5 Tb 0.369 0.570 0.691
6 Sm 0.868 0.301 0.963
7 Sm 0.132 0.699 0.037
8 Sm 0.282 0.147 0.289
9 Sm 0.718 0.853 0.711


Density functional theory data (GGA-PBE) for a relaxed KMnCl crystal.

Crystal system: cubic
ΔE_f (raw): 70 kJ/mol of formula units
Density of states at the Fermi level: 5.7 states/eV/f.u.
Electronic total energy: -3.795 eV/atom

a = 5.466 Å, b = 5.466 Å, c = 5.466 Å
α = 60.00°, β = 60.00°, γ = 60.00°
Last column: magnetic moment on the atom in μB.
Fractional coordinates of all 3 atoms:
1 K 0.500 0.500 0.500  0.01
2 Mn 0.750 0.750 0.750  4.42
3 Cl 0.000 0.000 0.000  0.07


Density functional theory data (GGA-PBE) for a relaxed CeY2Pt9 crystal.

DFT formation energy: -0.95 eV/atom
Crystal system: trigonal
Density of states at the Fermi level: 12.3 states/eV/f.u.
Electronic total energy: -7.049 eV/atom

a = 5.422 Å, b = 5.422 Å, c = 9.414 Å
α = 73.26°, β = 73.26°, γ = 60.00°
Last column: magnetic moment on the atom in μB.
Fractional coordinates of all 12 atoms:
1 Ce 0.000 0.000 0.000  0.50
2 Pt 0.919 0.412 0.257  -0.01
3 Pt 0.081 0.588 0.743  -0.01
4 Pt 0.500 0.500 0.500  0.00
5 Pt 0.588 0.588 0.743  -0.01
6 Pt 0.412 0.412 0.257  -0.01
7 Pt 0.333 0.333 0.001  -0.03
8 Pt 0.412 0.919 0.257  -0.01
9 Pt 0.667 0.667 0.999  -0.03
10 Pt 0.588 0.081 0.743  -0.01
11 Y 0.140 0.140 0.580  0.01
12 Y 0.860 0.860 0.420  0.01